Model A:
Compound: CaSc2Cu2
Source: Alexandria
Functional: PBE-GGA
Structure: relaxed

The calculation puts the density of states at the Fermi level at 5.67 states/eV/cell.

The space group is P4/mbm (No. 127) and the conventional cell measures 8.044, 8.044 and 3.095 Å, with angles of 90.00, 90.00 and 90.00 degrees. The asymmetric unit holds Ca at (0.000, 0.000, 0.000), Sc at (0.136, 0.364, 0.000) and Cu at (0.157, 0.657, 0.500).

Model B:
Compound: CaSc2Cu2
Source: Alexandria
Functional: PBE-GGA
Structure: relaxed

The calculation puts the density of states at the Fermi level at 13.74 states/eV/cell.

The space group is I4/mmm (No. 139) and the conventional cell measures 4.799, 4.799 and 10.349 Å, with angles of 90.00, 90.00 and 90.00 degrees. The asymmetric unit holds Ca at (0.000, 0.000, 0.000), Sc at (0.000, 0.000, 0.347) and Cu at (0.000, 0.500, 0.250).

Model C:
Compound: CaSc2Cu2
Source: Alexandria
Functional: PBE-GGA
Structure: relaxed

The calculation puts the density of states at the Fermi level at 13.70 states/eV/cell.

The space group is P4/mbm (No. 127) and the conventional cell measures 7.833, 7.833 and 3.431 Å, with angles of 90.00, 90.00 and 90.00 degrees. The asymmetric unit holds Ca at (0.000, 0.000, 0.000), Sc at (0.152, 0.348, 0.500) and Cu at (0.126, 0.626, 0.000).

Model D:
Compound: CaSc2Cu2
Source: Alexandria
Functional: PBE-GGA
Structure: relaxed

The calculation puts the density of states at the Fermi level at 8.54 states/eV/cell.

The space group is I4/mmm (No. 139) and the conventional cell measures 4.507, 4.507 and 10.958 Å, with angles of 90.00, 90.00 and 90.00 degrees. The asymmetric unit holds Ca at (0.000, 0.000, 0.000), Sc at (0.000, 0.500, 0.250) and Cu at (0.000, 0.000, 0.391).

model C is favored, and the nearest alternative lies 10 meV/atom above it.

Model A:
Compound: CaScTlCu2
Source: Alexandria
Functional: PBE-GGA
Structure: relaxed

The calculation puts the density of states at the Fermi level at 4.56 states/eV/cell.

The space group is P4/mmm (No. 123) and the conventional cell measures 5.002, 5.002 and 5.397 Å, with angles of 90.00, 90.00 and 90.00 degrees. The asymmetric unit holds Ca at (0.000, 0.000, 0.000), Sc at (0.500, 0.500, 0.000), Tl at (0.500, 0.500, 0.500) and Cu at (0.000, 0.500, 0.500).

Model B:
Compound: CaScTlCu2
Source: Alexandria
Functional: PBE-GGA
Structure: relaxed

The calculation puts the density of states at the Fermi level at 3.56 states/eV/cell.

The space group is P4/mmm (No. 123) and the conventional cell measures 4.929, 4.929 and 5.518 Å, with angles of 90.00, 90.00 and 90.00 degrees. The asymmetric unit holds Ca at (0.000, 0.000, 0.000), Sc at (0.500, 0.500, 0.500), Tl at (0.500, 0.500, 0.000) and Cu at (0.000, 0.500, 0.500).

model B is favored, and the nearest alternative lies 124 meV/atom above it.

Model A:
Compound: CaCu3Se
Source: Alexandria
Functional: PBE-GGA
Structure: relaxed

The calculation puts the density of states at the Fermi level at 6.12 states/eV/cell.

The space group is Pm-3m (No. 221) and the conventional cell measures 4.977, 4.977 and 4.977 Å, with angles of 90.00, 90.00 and 90.00 degrees. The asymmetric unit holds Ca at (0.000, 0.000, 0.000), Cu at (0.000, 0.000, 0.500) and Se at (0.500, 0.500, 0.500).

Model B:
Compound: CaCu3Se
Source: Alexandria
Functional: PBE-GGA
Structure: relaxed

The calculation puts the density of states at the Fermi level at 3.53 states/eV/cell.

The space group is Pm-3m (No. 221) and the conventional cell measures 4.720, 4.720 and 4.720 Å, with angles of 90.00, 90.00 and 90.00 degrees. The asymmetric unit holds Ca at (0.000, 0.000, 0.000), Cu at (0.000, 0.500, 0.500) and Se at (0.500, 0.500, 0.500).

model B is favored, and the nearest alternative lies 1065 meV/atom above it.

Model A:
Compound: Ca2CuSi2
Source: Alexandria
Functional: PBE-GGA
Structure: relaxed

The calculation puts the density of states at the Fermi level at 7.74 states/eV/cell.

The space group is C2/m (No. 12) and the conventional cell measures 10.438, 4.329 and 10.436 Å, with angles of 90.00, 119.13 and 90.00 degrees. The asymmetric unit holds Ca at (0.014, 0.000, 0.329), Ca at (0.193, 0.000, 0.109), Cu at (0.230, 0.500, 0.356), Si at (0.007, 0.500, 0.887) and Si at (0.136, 0.500, 0.558).

Model B:
Compound: Ca2CuSi2
Source: Alexandria
Functional: PBE-GGA
Structure: relaxed

The calculation puts the density of states at the Fermi level at 5.64 states/eV/cell.

The space group is P4/mbm (No. 127) and the conventional cell measures 6.668, 6.668 and 4.626 Å, with angles of 90.00, 90.00 and 90.00 degrees. The asymmetric unit holds Ca at (0.169, 0.331, 0.000), Cu at (0.000, 0.000, 0.500) and Si at (0.134, 0.634, 0.500).

Model C:
Compound: Ca2CuSi2
Source: Alexandria
Functional: PBE-GGA
Structure: relaxed

The calculation puts the density of states at the Fermi level at 7.14 states/eV/cell.

The space group is I4/mmm (No. 139) and the conventional cell measures 5.887, 5.887 and 6.912 Å, with angles of 90.00, 90.00 and 90.00 degrees. The asymmetric unit holds Ca at (0.000, 0.500, 0.250), Cu at (0.000, 0.000, 0.000) and Si at (0.000, 0.000, 0.333).

model A is favored, and the nearest alternative lies 150 meV/atom above it.